Record 1
The following is a PBE calculation of a relaxed structure of ErMgZrMo, from Alexandria via LeMat-Bulk.

Calculated values
Final energy = -6.26 eV per atom
Calculated volume = 21.21 Å³ per atom

Cell: 4.932 4.932 4.932 Å, 60.00 60.00 60.00°
Fractional coordinates of all 4 atoms:
Mo: 0.000 0.000 0.000
Mg: 0.500 0.500 0.500
Zr: 0.750 0.750 0.750
Er: 0.250 0.250 0.250

***

Record 2
The following is a PBE calculation of a relaxed structure of Hf4TaOs5, from Alexandria via LeMat-Bulk.

Calculated values
Final energy = -11.38 eV per atom
Calculated volume = 16.99 Å³ per atom

Cell: 3.242 3.242 16.163 Å, 90.00 90.00 90.00°
Fractional coordinates of all 10 atoms:
Hf: 0.000 0.000 0.198
Hf: 0.000 0.000 0.399
Hf: 0.000 0.000 0.601
Hf: 0.000 0.000 0.802
Ta: 0.000 0.000 0.000
Os: 0.500 0.500 0.096
Os: 0.500 0.500 0.298
Os: 0.500 0.500 0.500
Os: 0.500 0.500 0.702
Os: 0.500 0.500 0.904

***

Record 3
The following is a PBE calculation of a relaxed structure of LiAu2Br, from Alexandria via LeMat-Bulk.

Calculated values
Final energy = -2.59 eV per atom
Raw formation energy = -54 meV per atom
Calculated volume = 19.46 Å³ per atom
Relative energy among the computed polymorphs = 0.409 eV per atom

Cell: 10.254 10.254 10.254 Å, 16.72 16.72 16.72°
Fractional coordinates of all 4 atoms:
Au: 0.016 0.016 0.016
Au: 0.484 0.484 0.484
Br: 0.250 0.250 0.250
Li: 0.750 0.750 0.750

***

Record 4
The following is a PBE calculation of a relaxed structure of Pm2NpAgO8, from Alexandria via LeMat-Bulk.

Calculated values
Final energy = -7.78 eV per atom
Raw formation energy = -2371 meV per atom
Calculated volume = 14.21 Å³ per atom

Cell: 4.210 5.389 7.673 Å, 98.25 87.09 97.85°
Fractional coordinates of all 12 atoms:
Pm: 0.523 0.455 0.736
Pm: 0.477 0.545 0.264
Np: 0.000 0.000 0.000
Ag: 0.000 0.000 0.500
O: 0.040 0.803 0.249
O: 0.582 0.780 0.013
O: 0.923 0.274 0.179
O: 0.960 0.197 0.751
O: 0.418 0.220 0.987
O: 0.077 0.726 0.821
O: 0.625 0.738 0.536
O: 0.375 0.262 0.464